(1)
SrTcRhO6 after structural relaxation, computed with PBE-GGA.

The space group is P312 (No. 149) and the conventional cell measures 5.3208, 5.3208 and 5.2339 Å, with angles of 90.00, 90.00 and 120.00 degrees. The asymmetric unit holds Sr at (0.0000, 0.0000, 0.0000), Tc at (0.3333, 0.6667, 0.5000), Rh at (0.6667, 0.3333, 0.5000) and O at (0.0123, 0.3872, 0.7012).

As for the formation energy (no corrections): -150.5 kJ/mol of atoms. Its total energy is -7.021 eV per atom.


(2)
SrLaSN2 after structural relaxation, computed with PBE-GGA.

The space group is P4/mmm (No. 123) and the conventional cell measures 4.3769, 4.3769 and 5.5237 Å, with angles of 90.00, 90.00 and 90.00 degrees. The asymmetric unit holds Sr at (0.0000, 0.0000, 0.0000), La at (0.5000, 0.5000, 0.5000), S at (0.0000, 0.0000, 0.5000) and N at (0.0000, 0.5000, 0.0000).

As for the formation energy (no corrections): 25.9 kJ/mol of atoms. Its excess energy over the best structure of this formula in the dataset is 581 meV/atom. As for the density of states at the Fermi level: 1.0 states/eV/cell. Its total energy is -5.209 eV per atom.


(3)
PuV2Tc after structural relaxation, computed with PBE-GGA.

The space group is Fm-3m (No. 225) and the conventional cell measures 6.2840, 6.2840 and 6.2840 Å, with angles of 90.00, 90.00 and 90.00 degrees. The asymmetric unit holds Pu at (0.0000, 0.0000, 0.0000), V at (0.2500, 0.2500, 0.2500) and Tc at (0.0000, 0.0000, 0.5000).

Its excess energy over the best structure of this formula in the dataset is 101 meV/atom. As for the density of states at the Fermi level: 27.2 states/eV/cell. Its total energy is -10.593 eV per atom. The value obtained for the calculated formation energy is 3.2 kcal/mol of atoms.


(4)
KCr2Rh after structural relaxation, computed with PBE-GGA.

The space group is P2/m (No. 10) and the conventional cell measures 2.7486, 4.2772 and 6.9822 Å, with angles of 90.00, 95.05 and 90.00 degrees. The asymmetric unit holds K at (0.0000, 0.0000, 0.0000), Cr at (0.1111, 0.5000, 0.6289) and Rh at (0.5000, 0.0000, 0.5000).

Its excess energy over the best structure of this formula in the dataset is 145 meV/atom. As for the density of states at the Fermi level: 4.1 states/eV/cell. Its total energy is -6.224 eV per atom. The value obtained for the calculated formation energy is 16.1 kcal/mol of atoms.


(5)
ErSc2Ta after structural relaxation, computed with PBE-GGA.

The space group is P4/mmm (No. 123) and the conventional cell measures 3.6835, 3.6835 and 6.9531 Å, with angles of 90.00, 90.00 and 90.00 degrees. The asymmetric unit holds Er at (0.0000, 0.0000, 0.0000), Sc at (0.5000, 0.5000, 0.2911) and Ta at (0.0000, 0.0000, 0.5000).

Its excess energy over the best structure of this formula in the dataset is 24 meV/atom. As for the density of states at the Fermi level: 5.1 states/eV/cell. Its total energy is -7.052 eV per atom. The value obtained for the calculated formation energy is 5.0 kcal/mol of atoms.


(6)
MnZnCl after structural relaxation, computed with PBE-GGA.

The space group is F-43m (No. 216) and the conventional cell measures 6.6095, 6.6095 and 6.6095 Å, with angles of 90.00, 90.00 and 90.00 degrees. The asymmetric unit holds Mn at (0.0000, 0.0000, 0.0000), Zn at (0.2500, 0.2500, 0.7500) and Cl at (0.0000, 0.0000, 0.5000).

As for the formation energy (no corrections): 51.8 kJ/mol of atoms. Its excess energy over the best structure of this formula in the dataset is 669 meV/atom. As for the density of states at the Fermi level: 7.8 states/eV/cell. Its total energy is -3.560 eV per atom.


(7)
Pa2Se3F after structural relaxation, computed with PBE-GGA.

The space group is R-3c (No. 167, hexagonal axes) and the conventional cell measures 7.7782, 7.7782 and 17.0755 Å, with angles of 90.00, 90.00 and 120.00 degrees. The asymmetric unit holds Pa at (0.0000, 0.0000, 0.1343), Se at (0.0000, 0.2814, 0.2500) and F at (0.0000, 0.0000, 0.0000).

As for the formation energy (no corrections): -172.0 kJ/mol of atoms. As for the density of states at the Fermi level: 50.8 states/eV/cell. Its total energy is -7.002 eV per atom.


(8)
PrMg2 after structural relaxation, computed with PBE-GGA.

The space group is P6/mmm (No. 191) and the conventional cell measures 5.3147, 5.3147 and 3.4172 Å, with angles of 90.00, 90.00 and 120.00 degrees. The asymmetric unit holds Pr at (0.0000, 0.0000, 0.0000) and Mg at (0.3333, 0.6667, 0.5000).

As for the density of states at the Fermi level: 2.8 states/eV/cell. Its total energy is -2.760 eV per atom. The value obtained for the calculated formation energy is -2.4 kcal/mol of atoms.


Number 4 is which compound?
KCr2Rh


Please write out number 5 again, unchanged.
ErSc2Ta after structural relaxation, computed with PBE-GGA.

The space group is P4/mmm (No. 123) and the conventional cell measures 3.6835, 3.6835 and 6.9531 Å, with angles of 90.00, 90.00 and 90.00 degrees. The asymmetric unit holds Er at (0.0000, 0.0000, 0.0000), Sc at (0.5000, 0.5000, 0.2911) and Ta at (0.0000, 0.0000, 0.5000).

Its excess energy over the best structure of this formula in the dataset is 24 meV/atom. As for the density of states at the Fermi level: 5.1 states/eV/cell. Its total energy is -7.052 eV per atom. The value obtained for the calculated formation energy is 5.0 kcal/mol of atoms.